1.
A geometry-optimized TaFe2Tc structure. Source: the Alexandria database, functional PBE-GGA.

The structure in POSCAR format:
```
TaFe2Tc
1.0
2.723 0.000 0.000
0.000 3.677 0.000
0.000 0.000 5.390
Fe Tc Ta
2 1 1
direct
0.000 0.000 0.518
0.000 0.000 0.982
0.500 0.500 0.750
0.500 0.500 0.250
```

For the energy above the most stable polymorph in this dataset, the calculation gives 132 meV per atom.

---

2.
A geometry-optimized Ta2HgPb structure. Source: the Alexandria database, functional PBE-GGA.

The structure in POSCAR format:
```
Ta2HgPb
1.0
3.023 0.017 0.000
-0.824 2.909 0.000
0.000 0.000 9.325
Ta Hg Pb
2 1 1
direct
0.000 0.000 0.004
0.000 0.000 0.496
0.500 0.500 0.250
0.500 0.500 0.750
```

For the energy above the most stable polymorph in this dataset, the calculation gives 255 meV per atom.

---

3.
A geometry-optimized PrNd2Tm structure. Source: the Alexandria database, functional PBE-GGA.

The structure in POSCAR format:
```
PrNd2Tm
1.0
3.648 0.000 0.000
1.824 3.159 0.000
1.824 1.053 11.863
Tm Nd Pr
1 2 1
direct
0.667 0.667 0.999
0.081 0.081 0.757
0.252 0.252 0.243
0.500 0.500 0.501
```

For the energy above the most stable polymorph in this dataset, the calculation gives 9 meV per atom.

---

4.
A geometry-optimized YCuTc2 structure. Source: the Alexandria database, functional PBE-GGA.

The structure in POSCAR format:
```
YCuTc2
1.0
-3.132 -2.649 1.091
-1.894 -2.380 -2.960
1.622 -5.264 0.146
Tc Y Cu
2 1 1
direct
0.012 0.012 0.964
0.700 0.700 0.899
0.500 0.500 0.500
0.287 0.287 0.137
```

For the energy above the most stable polymorph in this dataset, the calculation gives 0 meV per atom.

---

5.
A geometry-optimized Rh2AuSeF structure. Source: the Alexandria database, functional PBE-GGA.

The structure in POSCAR format:
```
Rh2AuSeF
1.0
5.032 0.000 0.000
0.000 4.034 0.000
0.000 0.000 5.032
Au F Rh Se
1 1 2 1
direct
0.000 0.000 0.000
0.000 0.500 0.000
0.000 0.000 0.500
0.500 0.000 0.000
0.500 0.500 0.500
```

As for the uncorrected formation energy: 0.841 eV per atom.

---

6.
A geometry-optimized CaLa2Mg structure. Source: the Alexandria database, functional PBE-GGA.

The structure in POSCAR format:
```
CaLa2Mg
1.0
4.926 0.000 0.000
0.000 3.711 0.136
0.000 3.402 7.601
Mg La Ca
1 2 1
direct
0.000 0.506 0.493
0.500 0.257 0.242
0.000 0.970 0.033
0.500 0.768 0.732
```

The value obtained for the electronic total energy is -3.34 eV/atom.

---

Please write out number 1 again, unchanged.
A geometry-optimized TaFe2Tc structure. Source: the Alexandria database, functional PBE-GGA.

The structure in POSCAR format:
```
TaFe2Tc
1.0
2.723 0.000 0.000
0.000 3.677 0.000
0.000 0.000 5.390
Fe Tc Ta
2 1 1
direct
0.000 0.000 0.518
0.000 0.000 0.982
0.500 0.500 0.750
0.500 0.500 0.250
```

For the energy above the most stable polymorph in this dataset, the calculation gives 132 meV per atom.